DFT (PBE) results for Li3Pr2Cu2 after structural relaxation.

Geometry as POSCAR:
```
Li3Pr2Cu2
1.0
3.763 0.000 0.000
0.000 4.271 0.000
0.000 -2.135 10.385
Li Pr Cu
3 2 2
Direct
0.500 0.571 0.142 Li
0.500 0.429 0.858 Li
0.000 0.000 0.000 Li
0.000 0.830 0.660 Pr
0.000 0.170 0.340 Pr
0.500 0.715 0.429 Cu
0.500 0.285 0.571 Cu
```

Summary:
Energy ... -23.830 eV per formula unit
Density of states at the Fermi level ... 5.9 states/eV per cell